8
Lattice="-1.102 1.416 3.275 -2.687 -2.584 0.213 5.456 -5.331 4.142" Properties=species:S:1:pos:R:3 comment="NaReNO, relaxed, DFT PBE" space_group="No. 129" e_above_lowest_polymorph_mev_per_atom=896.0 pbc="T T T"
N 1.630 -1.423 3.293
Re 2.728 -2.665 2.071
Na -0.565 -2.053 0.697
O -1.895 -0.584 1.744
Re 0.833 -3.249 3.815
O 0.000 0.000 0.000
N 1.931 -4.492 2.592
Na 4.127 -3.862 5.188



3
Lattice="-2.401 -2.930 3.400 -2.012 2.084 4.185 -5.055 0.312 0.510" Properties=species:S:1:pos:R:3 comment="LaPaCd, relaxed, DFT PBE" space_group="No. 216" formation_enthalpy_0k_ev_per_atom=0.72 pbc="T T T"
Pa 0.000 0.000 0.000
Cd -2.367 -0.133 2.024
La -7.100 -0.400 6.072



8
Lattice="-0.163 3.436 0.354 -6.891 -0.451 1.195 1.311 -0.690 7.301" Properties=species:S:1:pos:R:3 comment="NbAsPbO, relaxed, DFT PBE" space_group="No. 26" e_above_lowest_polymorph_mev_per_atom=0.0 pbc="T T T"
Pb -5.378 -0.399 1.391
As -5.154 -0.680 4.222
Nb -3.333 1.121 4.473
As 0.079 -0.726 7.079
O -2.913 0.947 6.354
Pb -0.697 -0.481 4.343
Nb -1.766 0.835 7.966
O -2.816 1.341 2.573



5
Lattice="-1.820 1.820 7.267 1.820 -1.820 7.267 1.820 1.820 -7.267" Properties=species:S:1:pos:R:3 comment="Sc2Zn2Au, relaxed, DFT PBE" space_group="No. 139" formation_enthalpy_0k_ev_per_atom=-0.17 pbc="T T T"
Au 0.000 0.000 0.000
Zn 0.000 1.820 3.634
Zn 1.820 0.000 3.634
Sc 0.000 0.000 5.825
Sc 0.000 0.000 8.710



12
Lattice="5.601 0.000 0.000 0.000 8.357 0.000 0.000 0.000 4.858" Properties=species:S:1:pos:R:3 comment="ZrMo, relaxed, DFT PBE" space_group="No. 26" formation_enthalpy_0k_ev_per_atom=0.19 e_above_lowest_polymorph_mev_per_atom=181.2 pbc="T T T"
Zr 2.935 3.729 0.000
Zr 2.999 6.596 0.000
Mo 4.415 4.404 2.429
Zr 0.135 3.234 0.000
Mo 0.296 5.934 0.000
Zr 4.614 7.159 2.429
Zr 1.814 8.163 2.429
Mo 3.097 1.031 0.000
Mo 1.542 5.110 2.429
Zr 0.199 0.369 0.000
Mo 4.342 1.855 2.429
Mo 1.615 2.560 2.429



8
Lattice="-0.133 5.837 -3.261 -5.512 1.185 2.346 -2.323 2.714 4.953" Properties=species:S:1:pos:R:3 comment="DyY2Ga4Ni, relaxed, DFT PBE" space_group="No. 38" pbc="T T T"
Ni -5.616 5.680 3.539
Ga -0.959 2.321 -0.189
Y -4.450 2.214 4.146
Y -3.390 4.572 1.466
Ga -7.005 4.703 5.812
Ga -1.007 4.428 -1.365
Ga -7.082 8.077 3.927
Dy -2.230 1.110 2.078



Number 1: uncorrected energy -6.45 eV/atom, magnetization 0.2 μB/cell. Number 2: uncorrected energy -4.38 eV/atom, magnetization 1.9 μB/cell. Number 3: uncorrected energy -6.67 eV/atom, magnetization 0.0 μB/cell. Number 4: uncorrected energy -3.86 eV/atom, magnetization 0.0 μB/cell. Number 5: uncorrected energy -9.51 eV/atom, magnetization 0.0 μB/cell. Number 6: uncorrected energy -4.84 eV/atom, magnetization 0.0 μB/cell.